1.
{
  "formula": "DyHo2ErO6",
  "functional": "PBE",
  "state": "relaxed",
  "cell": [[2.889, 1.668, 5.038], [-2.889, 1.668, 5.038], [0.000, -3.337, 5.038]],
  "species": ["Dy", "Ho", "Ho", "Er", "O", "O", "O", "O", "O", "O"],
  "frac_coords": [[0.000, 0.000, 0.000], [0.283, 0.283, 0.283], [0.783, 0.783, 0.783], [0.499, 0.499, 0.499], [0.099, 0.682, 0.393], [0.186, 0.597, 0.889], [0.393, 0.099, 0.682], [0.597, 0.889, 0.186], [0.682, 0.393, 0.099], [0.889, 0.186, 0.597]],
  "crystal_system": "trigonal",
  "sg": "R3",
  "e_form_raw_mev_per_atom": -3564
}

2.
{
  "formula": "Cr2CuAg",
  "functional": "PBE",
  "state": "relaxed",
  "cell": [[1.455, -2.191, 0.000], [1.455, 2.191, 0.000], [0.000, 0.000, 8.525]],
  "species": ["Cr", "Cr", "Cu", "Ag"],
  "frac_coords": [[0.000, 0.000, 0.000], [0.500, 0.500, 0.202], [0.000, 0.000, 0.447], [0.500, 0.500, 0.717]],
  "crystal_system": "orthorhombic",
  "formation_enthalpy_0k_ev_per_atom": 0.32,
  "polymorph_energy_kj_per_mol_atoms": 2.91,
  "sg": "Cmm2"
}

3.
{
  "formula": "Li2AlAgO",
  "functional": "PBE",
  "state": "relaxed",
  "cell": [[3.725, 0.000, 0.000], [0.000, 3.725, 0.000], [0.000, 0.000, 5.569]],
  "species": ["Li", "Li", "Al", "Ag", "O"],
  "frac_coords": [[0.000, 0.500, 0.000], [0.500, 0.000, 0.000], [0.000, 0.000, 0.500], [0.500, 0.500, 0.500], [0.500, 0.500, 0.000]],
  "crystal_system": "tetragonal",
  "sg": "P4/mmm",
  "e_form_raw_mev_per_atom": -641
}

4.
{
  "formula": "CaZnTc2",
  "functional": "PBE",
  "state": "relaxed",
  "cell": [[-1.568, 2.265, 4.819], [1.568, -2.265, 4.819], [1.568, 2.265, -4.819]],
  "species": ["Ca", "Zn", "Tc", "Tc"],
  "frac_coords": [[0.000, 0.000, 0.000], [0.500, 0.500, 0.000], [0.267, 0.767, 0.500], [0.733, 0.233, 0.500]],
  "crystal_system": "orthorhombic",
  "formation_enthalpy_0k_ev_per_atom": 0.45,
  "sg": "Immm"
}

5.
{
  "formula": "V4HIr2",
  "functional": "PBE",
  "state": "relaxed",
  "cell": [[-1.842, 1.842, 6.665], [1.842, -1.842, 6.665], [1.842, 1.842, -6.665]],
  "species": ["V", "V", "V", "V", "H", "Ir", "Ir"],
  "frac_coords": [[0.000, 0.500, 0.500], [0.180, 0.180, 0.000], [0.500, 0.000, 0.500], [0.820, 0.820, 0.000], [0.000, 0.000, 0.000], [0.358, 0.358, 0.000], [0.642, 0.642, 0.000]],
  "crystal_system": "tetragonal",
  "final_energy_ev_per_cell": -58.4,
  "sg": "I4/mmm"
}

6.
{
  "formula": "AcYScAg",
  "functional": "PBE",
  "state": "relaxed",
  "cell": [[0.000, 3.843, 3.843], [3.843, 0.000, 3.843], [3.843, 3.843, 0.000]],
  "species": ["Ac", "Y", "Sc", "Ag"],
  "frac_coords": [[0.000, 0.000, 0.000], [0.750, 0.750, 0.750], [0.250, 0.250, 0.250], [0.500, 0.500, 0.500]],
  "crystal_system": "cubic",
  "formation_enthalpy_0k_ev_per_atom": 0.21,
  "sg": "F-43m"
}